Entry 1:
Density functional theory data (PBE) for a relaxed Sc2Mo crystal.

Unit cell a=3.2282 b=3.2282 c=12.1694 alpha=90.00 beta=90.00 gamma=90.00
Last column: nearest neighbours and their distance in Å.
Element x y z (fractional)
Sc  0.0000  0.5000  0.4080  12 Sc 3.20-3.38
Sc  0.5000  0.0000  0.5920  12 Sc 3.20-3.38
Mo  0.5000  0.0000  0.9426  4 Mo 2.68, 4 Sc 2.90
Mo  0.0000  0.5000  0.0574  4 Mo 2.68, 4 Sc 2.90
Sc  0.5000  0.0000  0.2037  5 Mo 2.90-3.18, 4 Sc 3.23
Sc  0.0000  0.5000  0.7963  5 Mo 2.90-3.18, 4 Sc 3.23

Calculated values
Formation energy from the elements   0.01 eV/atom
SG   No. 129
D(E_F)   1.5311 states/eV/atom
ρ   4.87 Mg/m³

---

Entry 2:
Density functional theory data (PBE) for a relaxed Nd2Y2HoTm2 crystal.

Unit cell a=3.4818 b=13.9422 c=11.4877 alpha=154.57 beta=90.00 gamma=97.17
Last column: nearest neighbours and their distance in Å.
Element x y z (fractional)
Tm  0.3501  0.7002  0.6335  5 Y 3.45-3.55, 5 Tm 3.48-3.54, 2 Nd 3.67
Nd  0.7596  0.5193  0.1684  4 Nd 3.48-3.81, 3 Ho 3.55-3.63, 3 Y 3.60-3.63, 2 Tm 3.67
Ho  0.0000  0.0000  0.5000  2 Y 3.41, 2 Ho 3.48, 6 Nd 3.55-3.63
Y  0.0588  0.1176  0.9197  1 Ho 3.41, 5 Tm 3.45-3.55, 2 Y 3.48, 3 Nd 3.60-3.63
Nd  0.2404  0.4807  0.8316  4 Nd 3.48-3.81, 3 Ho 3.55-3.63, 3 Y 3.60-3.63, 2 Tm 3.67
Y  0.9412  0.8824  0.0803  1 Ho 3.41, 5 Tm 3.45-3.55, 2 Y 3.48, 3 Nd 3.60-3.63
Tm  0.6499  0.2998  0.3665  5 Y 3.45-3.55, 5 Tm 3.48-3.54, 2 Nd 3.67

Calculated values
Formation energy from the elements   0.12 eV/atom
SG   No. 12
D(E_F)   1.6707 states/eV/atom
ρ   7.02 Mg/m³

---

Entry 3:
Density functional theory data (PBE) for a relaxed ScRh2Se crystal.

Unit cell a=4.4603 b=3.2228 c=4.6517 alpha=86.64 beta=90.00 gamma=90.00
Last column: nearest neighbours and their distance in Å.
Element x y z (fractional)
Se  0.5000  0.7500  0.7500  4 Rh 2.61, 4 Sc 2.75-2.91
Rh  0.0000  0.5327  0.5095  2 Se 2.61, 3 Rh 2.71-2.80, 2 Sc 2.72
Rh  0.0000  0.9673  0.9905  2 Se 2.61, 3 Rh 2.71-2.80, 2 Sc 2.72
Sc  0.5000  0.2500  0.2500  4 Rh 2.72, 4 Se 2.75-2.91

Calculated values
SG   No. 10
D(E_F)   0.9710 states/eV/atom
Uncorrected formation energy   -46.5 kJ/mol of atoms
ρ   8.20 Mg/m³

---

Entry 4:
Density functional theory data (PBE) for a relaxed TiTcPt3 crystal.

Unit cell a=4.6536 b=4.6536 c=4.6536 alpha=90.00 beta=90.00 gamma=90.00
Last column: nearest neighbours and their distance in Å.
Element x y z (fractional)
Pt  0.5000  0.0000  0.0000  2 Ti 2.33
Pt  0.0000  0.5000  0.0000  2 Ti 2.33
Tc  0.5000  0.5000  0.5000  12 Pt 3.29
Ti  0.0000  0.0000  0.0000  6 Pt 2.33
Pt  0.0000  0.0000  0.5000  2 Ti 2.33

Calculated values
Formation energy from the elements   0.90 eV/atom
SG   No. 221
D(E_F)   0.9243 states/eV/atom
ρ   12.05 Mg/m³

---

Entry 5:
Density functional theory data (PBE) for a relaxed Li3Cd3Ag2 crystal.

Unit cell a=4.6726 b=4.7430 c=7.4669 alpha=108.27 beta=108.23 gamma=90.00
Last column: nearest neighbours and their distance in Å.
Element x y z (fractional)
Cd  0.3739  0.8748  0.7478  4 Ag 2.87-2.90, 3 Li 2.88-3.16, 2 Cd 2.91
Li  0.1381  0.6393  0.2762  4 Ag 2.78-2.81, 2 Cd 2.98, 2 Li 3.00-3.02
Li  0.0000  0.0000  0.0000  4 Cd 2.88, 4 Li 3.00-3.02
Cd  0.6261  0.1252  0.2522  4 Ag 2.87-2.90, 3 Li 2.88-3.16, 2 Cd 2.91
Ag  0.7500  0.7485  0.5000  4 Li 2.78-2.81, 4 Cd 2.87-2.90
Ag  0.2500  0.2515  0.5000  4 Li 2.78-2.81, 4 Cd 2.87-2.90
Cd  0.5000  0.5000  0.0000  4 Cd 2.91, 4 Li 2.98
Li  0.8619  0.3607  0.7238  4 Ag 2.78-2.81, 2 Cd 2.98, 2 Li 3.00-3.02

Calculated values
Formation energy from the elements   -0.20 eV/atom
SG   No. 12
D(E_F)   0.2972 states/eV/atom
ρ   6.42 Mg/m³

---

Entry 6:
Density functional theory data (PBE) for a relaxed V2HgP crystal.

Unit cell a=4.1579 b=4.1579 c=9.0180 alpha=76.67 beta=76.67 gamma=90.00
Last column: nearest neighbours and their distance in Å.
Element x y z (fractional)
Hg  0.7500  0.2500  0.5000  4 V 2.90, 4 P 2.94
V  0.3750  0.5260  0.7500  2 V 2.24, 2 P 2.41
V  0.8750  0.7240  0.7500  2 V 2.24, 2 P 2.41
P  0.2500  0.7500  0.5000  4 V 2.41
V  0.4740  0.1250  0.2500  2 V 2.24, 2 P 2.41
V  0.2760  0.6250  0.2500  2 V 2.24, 2 P 2.41
Hg  0.0000  0.0000  0.0000  4 V 2.90, 4 P 2.94
P  0.5000  0.5000  0.0000  4 V 2.41

Calculated values
Formation energy from the elements   0.52 eV/atom
SG   No. 122
D(E_F)   0.9206 states/eV/atom
ρ   7.51 Mg/m³

---

Entry 7:
Density functional theory data (PBE) for a relaxed BeFe2Br crystal.

Unit cell a=3.6244 b=3.6244 c=6.0831 alpha=107.30 beta=107.30 gamma=59.98
Last column: nearest neighbours and their distance in Å.
Element x y z (fractional)
Fe  0.2981  0.2981  0.3943  3 Be 2.24
Be  0.5849  0.5849  0.2546  6 Fe 2.18-2.24
Br  0.7346  0.7346  0.7036  4 Fe 2.54-2.74, 1 Be 2.57
Fe  0.8825  0.8825  0.1475  3 Be 2.18

Calculated values
SG   No. 160
D(E_F)   0.2040 states/eV/atom
Uncorrected formation energy   25.2 kJ/mol of atoms
ρ   5.13 Mg/m³

---

Entry 8:
Density functional theory data (PBE) for a relaxed TiCrCl2 crystal.

Unit cell a=8.2230 b=8.2230 c=8.2230 alpha=21.02 beta=21.02 gamma=21.02
Last column: nearest neighbours and their distance in Å.
Element x y z (fractional)
Ti  0.5000  0.5000  0.5000  6 Cl 2.46
Cl  0.9059  0.9059  0.9059  1 Cr 2.27, 3 Ti 2.46
Cr  0.0000  0.0000  0.0000  2 Cl 2.27
Cl  0.0941  0.0941  0.0941  1 Cr 2.27, 3 Ti 2.46

Calculated values
SG   No. 166
D(E_F)   1.4802 states/eV/atom
Uncorrected formation energy   -16.2 kJ/mol of atoms
ρ   4.52 Mg/m³

---

Entry 9:
Density functional theory data (PBE) for a relaxed NaInTe2 crystal.

Unit cell a=8.2069 b=9.6565 c=6.6876 alpha=90.00 beta=90.00 gamma=90.00
Last column: nearest neighbours and their distance in Å.
Element x y z (fractional)
In  0.7734  0.5140  0.5317  3 Te 3.03-3.20, 2 Na 3.31
Na  0.0092  0.7726  0.0867  4 Te 3.23-3.42, 2 In 3.31
Te  0.7196  0.9853  0.5550  2 Te 2.97-3.17, 1 In 3.20, 1 Na 3.23
Te  0.2196  0.5147  0.5550  2 Te 2.97-3.17, 1 In 3.20, 1 Na 3.23
In  0.2734  0.9860  0.5317  3 Te 3.03-3.20, 2 Na 3.31
Na  0.9908  0.2274  0.5867  4 Te 3.23-3.42, 2 In 3.31
Te  0.5205  0.2720  0.0763  2 Te 2.97-3.17, 2 In 3.03-3.19, 1 Na 3.28
Te  0.2804  0.0147  0.0550  2 Te 2.97-3.17, 1 In 3.20, 1 Na 3.23
Te  0.4795  0.7280  0.5763  2 Te 2.97-3.17, 2 In 3.03-3.19, 1 Na 3.28
Na  0.4908  0.2726  0.5867  4 Te 3.23-3.42, 2 In 3.31
Te  0.0205  0.2280  0.0763  2 Te 2.97-3.17, 2 In 3.03-3.19, 1 Na 3.28
Na  0.5092  0.7274  0.0867  4 Te 3.23-3.42, 2 In 3.31
Te  0.7804  0.4853  0.0550  2 Te 2.97-3.17, 1 In 3.20, 1 Na 3.23
In  0.7266  0.0140  0.0317  3 Te 3.03-3.20, 2 Na 3.31
Te  0.9795  0.7720  0.5763  2 Te 2.97-3.17, 2 In 3.03-3.19, 1 Na 3.28
In  0.2266  0.4860  0.0317  3 Te 3.03-3.20, 2 Na 3.31

Calculated values
SG   No. 33
D(E_F)   0.0000 states/eV/atom
Uncorrected formation energy   -34.5 kJ/mol of atoms
ρ   4.93 Mg/m³

---

Entry 10:
Density functional theory data (PBE) for a relaxed CePuGe crystal.

Unit cell a=4.7171 b=3.4937 c=5.3871 alpha=90.00 beta=124.44 gamma=90.00
Last column: nearest neighbours and their distance in Å.
Element x y z (fractional)
Pu  0.6079  0.0000  0.9679  2 Ce 2.81, 3 Ge 2.85-2.89
Ce  0.0427  0.5000  0.6863  2 Pu 2.81
Ge  0.3414  0.0000  0.3359  3 Pu 2.85-2.89

Calculated values
Formation energy from the elements   -0.25 eV/atom
SG   No. 6
D(E_F)   1.4350 states/eV/atom
ρ   10.36 Mg/m³

---

Entry 11:
Density functional theory data (PBE) for a relaxed Rb2Cd5Sn3 crystal.

Unit cell a=6.9623 b=10.0304 c=10.0304 alpha=78.61 beta=69.69 gamma=69.69
Last column: nearest neighbours and their distance in Å.
Element x y z (fractional)
Rb  0.3763  0.8694  0.3780  10 Cd 3.71-4.04, 6 Sn 3.77-4.05
Cd  0.3776  0.2630  0.9818  3 Sn 2.92-3.02, 2 Cd 3.02
Cd  0.6224  0.7370  0.0182  3 Sn 2.92-3.02, 2 Cd 3.02
Cd  0.0044  0.2456  0.2456  2 Sn 2.95, 2 Cd 3.02
Sn  0.7500  0.0000  0.0000  4 Cd 3.02
Sn  0.6301  0.4996  0.2403  5 Cd 2.92-3.00
Rb  0.1237  0.6220  0.1306  10 Cd 3.71-4.04, 6 Sn 3.77-4.05
Sn  0.1301  0.2403  0.4996  5 Cd 2.92-3.00
Rb  0.6237  0.1306  0.6220  10 Cd 3.71-4.04, 6 Sn 3.77-4.05
Cd  0.5044  0.2456  0.2456  2 Sn 2.95, 2 Cd 3.02
Cd  0.1224  0.0182  0.7370  3 Sn 2.92-3.02, 2 Cd 3.02
Rb  0.8763  0.3780  0.8694  10 Cd 3.71-4.04, 6 Sn 3.77-4.05
Cd  0.8776  0.9818  0.2630  3 Sn 2.92-3.02, 2 Cd 3.02
Sn  0.2500  0.0000  0.0000  4 Cd 3.02
Cd  0.4956  0.7544  0.7544  2 Sn 2.95, 2 Cd 3.02
Cd  0.2500  0.5000  0.5000  4 Sn 3.00
Cd  0.9956  0.7544  0.7544  2 Sn 2.95, 2 Cd 3.02
Cd  0.7500  0.5000  0.5000  4 Sn 3.00
Sn  0.8699  0.7597  0.5004  5 Cd 2.92-3.00
Sn  0.3699  0.5004  0.7597  5 Cd 2.92-3.00

Calculated values
Formation energy from the elements   -0.12 eV/atom
SG   No. 72
D(E_F)   0.4294 states/eV/atom
ρ   5.89 Mg/m³

---

Entry 12:
Density functional theory data (PBE) for a relaxed Sr2ThS2O2 crystal.

Unit cell a=4.4710 b=4.4710 c=8.8301 alpha=104.66 beta=104.66 gamma=90.00
Last column: nearest neighbours and their distance in Å.
Element x y z (fractional)
Th  0.0000  0.0000  0.0000  4 O 2.24
Sr  0.6478  0.6478  0.2957  5 S 2.94-3.19
O  0.0000  0.5000  0.0000  2 Th 2.24
O  0.5000  0.0000  0.0000  2 Th 2.24
S  0.1736  0.1736  0.3471  1 Th 2.86, 5 Sr 2.94-3.19
S  0.8264  0.8264  0.6529  1 Th 2.86, 5 Sr 2.94-3.19
Sr  0.3522  0.3522  0.7043  5 S 2.94-3.19

Calculated values
SG   No. 139
D(E_F)   0.0000 states/eV/atom
Uncorrected formation energy   -257.1 kJ/mol of atoms
ρ   5.07 Mg/m³